No. 1
# AcZn6Cu2

A relaxed AcZn6Cu2 crystal (PBE, the Alexandria database).

Spin magnetization: 0.0 μB per cell
E: -2.015 eV/atom
Energy above the most stable polymorph in this dataset: 360 meV per atom
D(E_F): 4.51 states/eV/f.u.
Energy relative to the elements: 201 meV/atom

Unit cell a=8.2096 b=8.2096 c=8.2096 alpha=60.00 beta=60.00 gamma=60.00
Positions (direct):
Ac  0.1250  0.1250  0.1250
Ac  0.8750  0.8750  0.8750
Zn  0.1477  0.1477  0.6023
Zn  0.1477  0.6023  0.1477
Zn  0.1477  0.6023  0.6023
Zn  0.3977  0.3977  0.8523
Zn  0.3977  0.8523  0.3977
Zn  0.3977  0.8523  0.8523
Zn  0.6023  0.1477  0.1477
Zn  0.6023  0.1477  0.6023
Zn  0.6023  0.6023  0.1477
Zn  0.8523  0.3977  0.3977
Zn  0.8523  0.3977  0.8523
Zn  0.8523  0.8523  0.3977
Cu  0.0000  0.5000  0.5000
Cu  0.5000  0.0000  0.5000
Cu  0.5000  0.5000  0.0000
Cu  0.5000  0.5000  0.5000

---

No. 2
# UPbSe2O8

A relaxed UPbSe2O8 crystal (PBE, the Alexandria database).

Spin magnetization: 0.0 μB per cell
E: -6.808 eV/atom
D(E_F): 0.00 states/eV/f.u.
E_form (uncorrected): -1672 meV per atom

Unit cell a=12.0003 b=6.1707 c=11.7297 alpha=90.00 beta=90.00 gamma=90.00
Positions (direct):
U  0.2466  0.0074  0.0000
U  0.2466  0.9926  0.5000
U  0.7534  0.0074  0.0000
U  0.7534  0.9926  0.5000
Pb  0.0000  0.4943  0.0646
Pb  0.0000  0.5057  0.5646
Pb  0.5000  0.0673  0.2592
Pb  0.5000  0.9327  0.7592
Se  0.0000  0.1539  0.3111
Se  0.0000  0.8461  0.8111
Se  0.2691  0.3402  0.7247
Se  0.2691  0.6598  0.2247
Se  0.5000  0.3824  0.9847
Se  0.5000  0.6176  0.4847
Se  0.7309  0.3402  0.7247
Se  0.7309  0.6598  0.2247
O  0.0000  0.4128  0.2616
O  0.0000  0.5872  0.7616
O  0.1092  0.1699  0.4087
O  0.1092  0.8301  0.9087
O  0.1480  0.1776  0.0814
O  0.1480  0.8224  0.5814
O  0.1642  0.2903  0.6264
O  0.1642  0.7097  0.1264
O  0.2197  0.2359  0.8511
O  0.2197  0.7641  0.3511
O  0.3486  0.1522  0.4168
O  0.3486  0.8478  0.9168
O  0.3503  0.1300  0.6687
O  0.3503  0.8700  0.1687
O  0.3880  0.2510  0.0502
O  0.3880  0.7490  0.5502
O  0.5000  0.2877  0.8479
O  0.5000  0.7123  0.3479
O  0.6120  0.2510  0.0502
O  0.6120  0.7490  0.5502
O  0.6497  0.1300  0.6687
O  0.6497  0.8700  0.1687
O  0.6514  0.1522  0.4168
O  0.6514  0.8478  0.9168
O  0.7803  0.2359  0.8511
O  0.7803  0.7641  0.3511
O  0.8358  0.2903  0.6264
O  0.8358  0.7097  0.1264
O  0.8520  0.1776  0.0814
O  0.8520  0.8224  0.5814
O  0.8908  0.1699  0.4087
O  0.8908  0.8301  0.9087